Record 1
First-principles (PBE-GGA) data for crystalline Cd4InAg4 at its relaxed geometry, as listed in the Alexandria database.

Computed properties:
The energy above the most stable polymorph in this dataset is 0.0 kJ/mol of atoms. The value obtained for the volume is 180.69 Å³/cell. Its formation energy is 0.00 eV/atom. The space-group type is I4/mmm (139). Its total energy is -1.98 eV per atom.

Lattice parameters (Å, degrees): 6.7450 6.7450 6.7450 96.27 96.27 141.40
Fractional coordinates of all 9 atoms:
Cd1 0.1708 0.1708 0.3417
Cd2 0.1708 0.8292 0.0000
Cd3 0.8292 0.1708 0.0000
Cd4 0.8292 0.8292 0.6583
In1 0.5000 0.5000 0.0000
Ag1 0.1622 0.5000 0.6622
Ag2 0.5000 0.1622 0.6622
Ag3 0.5000 0.8378 0.3378
Ag4 0.8378 0.5000 0.3378


Record 2
First-principles (PBE-GGA) data for crystalline Cd3InAg12 at its relaxed geometry, as listed in the Alexandria database.

Computed properties:
The value obtained for the volume is 298.51 Å³/cell. Its formation energy is -0.03 eV/atom. The space-group type is P4/mmm (123). Its total energy is -2.51 eV per atom.

Lattice parameters (Å, degrees): 4.1632 4.1632 17.2229 90.00 90.00 90.00
Fractional coordinates of all 16 atoms:
Cd1 0.0000 0.0000 0.0000
Cd2 0.0000 0.0000 0.2503
Cd3 0.0000 0.0000 0.7497
In1 0.0000 0.0000 0.5000
Ag1 0.0000 0.5000 0.1251
Ag2 0.0000 0.5000 0.3744
Ag3 0.0000 0.5000 0.6256
Ag4 0.0000 0.5000 0.8749
Ag5 0.5000 0.0000 0.1251
Ag6 0.5000 0.0000 0.3744
Ag7 0.5000 0.0000 0.6256
Ag8 0.5000 0.0000 0.8749
Ag9 0.5000 0.5000 0.0000
Ag10 0.5000 0.5000 0.2500
Ag11 0.5000 0.5000 0.5000
Ag12 0.5000 0.5000 0.7500


Record 3
First-principles (PBE-GGA) data for crystalline Cd7In2Ag2 at its relaxed geometry, as listed in the Alexandria database.

Computed properties:
The energy above the most stable polymorph in this dataset is 0.0 kJ/mol of atoms. The value obtained for the volume is 252.22 Å³/cell. Its formation energy is 0.02 eV/atom. The space-group type is C2/m (12). Its total energy is -1.58 eV per atom.

Lattice parameters (Å, degrees): 5.6626 5.6626 8.8048 96.46 96.46 114.06
Fractional coordinates of all 11 atoms:
Cd1 0.0000 0.0000 0.0000
Cd2 0.0402 0.0402 0.6644
Cd3 0.0936 0.5484 0.8434
Cd4 0.4516 0.9064 0.1566
Cd5 0.5484 0.0936 0.8434
Cd6 0.9064 0.4516 0.1566
Cd7 0.9598 0.9598 0.3356
In1 0.3068 0.6932 0.5000
In2 0.6932 0.3068 0.5000
Ag1 0.4138 0.4138 0.2347
Ag2 0.5862 0.5862 0.7653


Record 4
First-principles (PBE-GGA) data for crystalline Cd3In2Ag8 at its relaxed geometry, as listed in the Alexandria database.

Computed properties:
The energy above the most stable polymorph in this dataset is 0.0 kJ/mol of atoms. The value obtained for the volume is 258.61 Å³/cell. Its formation energy is 0.02 eV/atom. The space-group type is P2/m (10). Its total energy is -2.37 eV per atom.

Lattice parameters (Å, degrees): 9.6901 2.9987 10.1326 90.00 118.56 90.00
Fractional coordinates of all 13 atoms:
Cd1 0.0000 0.0000 0.0000
Cd2 0.0715 0.5000 0.7717
Cd3 0.9285 0.5000 0.2283
In1 0.4602 0.0000 0.6329
In2 0.5398 0.0000 0.3671
Ag1 0.1691 0.5000 0.5454
Ag2 0.2235 0.0000 0.3126
Ag3 0.3190 0.5000 0.0931
Ag4 0.3628 0.0000 0.8589
Ag5 0.6372 0.0000 0.1411
Ag6 0.6810 0.5000 0.9069
Ag7 0.7765 0.0000 0.6874
Ag8 0.8309 0.5000 0.4546


Record 5
First-principles (PBE-GGA) data for crystalline Cd3In3Ag4 at its relaxed geometry, as listed in the Alexandria database.

Computed properties:
The value obtained for the volume is 220.24 Å³/cell. Its formation energy is 0.04 eV/atom. The space-group type is Amm2 (38). Its total energy is -2.20 eV per atom.

Lattice parameters (Å, degrees): 3.0281 8.5284 8.5284 89.45 90.00 90.00
Fractional coordinates of all 10 atoms:
Cd1 0.0000 0.0000 0.0000
Cd2 0.5000 0.3119 0.8191
Cd3 0.5000 0.8191 0.3119
In1 0.0000 0.1350 0.4926
In2 0.0000 0.4926 0.1350
In3 0.0000 0.6444 0.6444
Ag1 0.5000 0.1996 0.1996
Ag2 0.5000 0.4420 0.4420
Ag3 0.5000 0.7068 0.9451
Ag4 0.5000 0.9451 0.7068


Record 6
First-principles (PBE-GGA) data for crystalline Cd6In2Ag at its relaxed geometry, as listed in the Alexandria database.

Computed properties:
The energy above the most stable polymorph in this dataset is 0.0 kJ/mol of atoms. The value obtained for the volume is 417.24 Å³/cell. Its formation energy is 0.03 eV/atom. The space-group type is C2/c (15). Its total energy is -1.51 eV per atom.

Lattice parameters (Å, degrees): 7.7128 7.7128 8.5545 113.56 113.56 91.36
Fractional coordinates of all 18 atoms:
Cd1 0.0747 0.8195 0.5355
Cd2 0.1423 0.4173 0.3584
Cd3 0.1805 0.9253 0.9645
Cd4 0.2828 0.5030 0.8065
Cd5 0.4173 0.1423 0.8584
Cd6 0.4970 0.7172 0.6935
Cd7 0.5030 0.2828 0.3065
Cd8 0.5827 0.8577 0.1416
Cd9 0.7172 0.4970 0.1935
Cd10 0.8195 0.0747 0.0355
Cd11 0.8577 0.5827 0.6416
Cd12 0.9253 0.1805 0.4645
In1 0.0512 0.2947 0.9211
In2 0.2947 0.0512 0.4211
In3 0.7053 0.9488 0.5789
In4 0.9488 0.7053 0.0789
Ag1 0.3682 0.6318 0.2500
Ag2 0.6318 0.3682 0.7500


Record 7
First-principles (PBE-GGA) data for crystalline Cd12In6Ag at its relaxed geometry, as listed in the Alexandria database.

Computed properties:
The value obtained for the volume is 466.75 Å³/cell. Its formation energy is 0.06 eV/atom. The space-group type is R-3 (148). Its total energy is -1.53 eV per atom.

Lattice parameters (Å, degrees): 7.7844 7.7844 7.7844 94.67 94.67 94.67
Fractional coordinates of all 19 atoms:
Cd1 0.0283 0.9553 0.2952
Cd2 0.0447 0.7048 0.9717
Cd3 0.1319 0.4446 0.3603
Cd4 0.2952 0.0283 0.9553
Cd5 0.3603 0.1319 0.4446
Cd6 0.4446 0.3603 0.1319
Cd7 0.5554 0.6397 0.8681
Cd8 0.6397 0.8681 0.5554
Cd9 0.7048 0.9717 0.0447
Cd10 0.8681 0.5554 0.6397
Cd11 0.9553 0.2952 0.0283
Cd12 0.9717 0.0447 0.7048
In1 0.2211 0.3832 0.7643
In2 0.2357 0.7789 0.6168
In3 0.3832 0.7643 0.2211
In4 0.6168 0.2357 0.7789
In5 0.7643 0.2211 0.3832
In6 0.7789 0.6168 0.2357
Ag1 0.5000 0.5000 0.5000


Record 8
First-principles (PBE-GGA) data for crystalline Cd3InAg7 at its relaxed geometry, as listed in the Alexandria database.

Computed properties:
The energy above the most stable polymorph in this dataset is 0.0 kJ/mol of atoms. The value obtained for the volume is 433.70 Å³/cell. Its formation energy is 0.02 eV/atom. The space-group type is Cmcm (63). Its total energy is -2.30 eV per atom.

Lattice parameters (Å, degrees): 12.0605 12.0605 11.8960 90.00 90.00 165.48
Fractional coordinates of all 22 atoms:
Cd1 0.0898 0.9102 0.5302
Cd2 0.0898 0.9102 0.9698
Cd3 0.2527 0.7473 0.2500
Cd4 0.7473 0.2527 0.7500
Cd5 0.9102 0.0898 0.0302
Cd6 0.9102 0.0898 0.4698
In1 0.0848 0.9152 0.2500
In2 0.9152 0.0848 0.7500
Ag1 0.2079 0.7921 0.5659
Ag2 0.2079 0.7921 0.9341
Ag3 0.3321 0.6679 0.6215
Ag4 0.3321 0.6679 0.8785
Ag5 0.3810 0.6190 0.2500
Ag6 0.5000 0.5000 0.1256
Ag7 0.5000 0.5000 0.3744
Ag8 0.5000 0.5000 0.6256
Ag9 0.5000 0.5000 0.8744
Ag10 0.6190 0.3810 0.7500
Ag11 0.6679 0.3321 0.1215
Ag12 0.6679 0.3321 0.3785
Ag13 0.7921 0.2079 0.0659
Ag14 0.7921 0.2079 0.4341


Record 9
First-principles (PBE-GGA) data for crystalline CdIn14Ag at its relaxed geometry, as listed in the Alexandria database.

Computed properties:
The value obtained for the volume is 418.17 Å³/cell. Its formation energy is 0.03 eV/atom. The space-group type is Cmmm (65). Its total energy is -2.60 eV per atom.

Lattice parameters (Å, degrees): 6.9880 6.9880 8.5636 90.00 90.00 90.20
Fractional coordinates of all 16 atoms:
Cd1 0.0000 0.0000 0.0000
In1 0.0000 0.0000 0.5000
In2 0.0000 0.5000 0.0000
In3 0.0000 0.5000 0.5000
In4 0.2544 0.2544 0.2392
In5 0.2544 0.2544 0.7608
In6 0.2539 0.7461 0.2407
In7 0.2539 0.7461 0.7593
In8 0.5000 0.0000 0.0000
In9 0.5000 0.0000 0.5000
In10 0.5000 0.5000 0.5000
In11 0.7461 0.2539 0.2407
In12 0.7461 0.2539 0.7593
In13 0.7456 0.7456 0.2392
In14 0.7456 0.7456 0.7608
Ag1 0.5000 0.5000 0.0000


Record 10
First-principles (PBE-GGA) data for crystalline CdIn5Ag6 at its relaxed geometry, as listed in the Alexandria database.

Computed properties:
The value obtained for the volume is 249.15 Å³/cell. Its formation energy is 0.02 eV/atom. The space-group type is C2/m (12). Its total energy is -2.62 eV per atom.

Lattice parameters (Å, degrees): 8.0975 8.0975 4.4586 105.72 105.72 106.88
Fractional coordinates of all 12 atoms:
Cd1 0.0000 0.0000 0.0000
In1 0.1636 0.8364 0.5000
In2 0.3320 0.6680 0.0000
In3 0.5000 0.5000 0.5000
In4 0.6680 0.3320 0.0000
In5 0.8364 0.1636 0.5000
Ag1 0.0832 0.4149 0.2488
Ag2 0.2486 0.2486 0.7486
Ag3 0.4149 0.0832 0.2488
Ag4 0.5851 0.9168 0.7512
Ag5 0.7514 0.7514 0.2514
Ag6 0.9168 0.5851 0.7512


Record 11
First-principles (PBE-GGA) data for crystalline Cd2In4Ag at its relaxed geometry, as listed in the Alexandria database.

Computed properties:
The value obtained for the volume is 175.72 Å³/cell. Its formation energy is 0.05 eV/atom. The space-group type is C2/m (12). Its total energy is -2.18 eV per atom.

Lattice parameters (Å, degrees): 8.9976 8.9976 6.6014 108.91 108.91 20.38
Fractional coordinates of all 7 atoms:
Cd1 0.2469 0.2469 0.3008
Cd2 0.7531 0.7531 0.6992
In1 0.0840 0.0840 0.4552
In2 0.3731 0.3731 0.0731
In3 0.6269 0.6269 0.9269
In4 0.9160 0.9160 0.5448
Ag1 0.0000 0.0000 0.0000


Record 12
First-principles (PBE-GGA) data for crystalline Cd8In2Ag at its relaxed geometry, as listed in the Alexandria database.

Computed properties:
The energy above the most stable polymorph in this dataset is 0.0 kJ/mol of atoms. The value obtained for the volume is 251.36 Å³/cell. Its formation energy is 0.01 eV/atom. The space-group type is C2/m (12). Its total energy is -1.41 eV per atom.

Lattice parameters (Å, degrees): 8.5150 8.5150 7.3146 105.31 105.31 29.52
Fractional coordinates of all 11 atoms:
Cd1 0.0410 0.0410 0.2298
Cd2 0.1313 0.1313 0.6647
Cd3 0.3228 0.3228 0.5932
Cd4 0.4133 0.4133 0.0597
Cd5 0.5867 0.5867 0.9403
Cd6 0.6772 0.6772 0.4068
Cd7 0.8687 0.8687 0.3353
Cd8 0.9590 0.9590 0.7702
In1 0.2242 0.2242 0.1383
In2 0.7758 0.7758 0.8618
Ag1 0.5000 0.5000 0.5000